Crystalline Li4Sb3Au4 at its relaxed geometry. Source: Alexandria, functional GGA-PBE.

extended XYZ file:
```
11
Lattice="3.296 0.000 0.000 -0.015 4.564 0.000 -1.614 -2.238 14.274" Properties=species:S:1:pos:R:3 pbc="T T T"
Li 0.001 0.006 1.527
Li 0.003 2.304 5.160
Li 1.664 0.022 9.113
Li 1.667 2.320 12.746
Sb 0.015 2.308 9.991
Sb 1.641 2.282 0.000
Sb 1.652 0.018 4.282
Au 0.012 0.023 6.793
Au 0.019 0.025 11.526
Au 1.648 2.301 2.748
Au 1.655 2.304 7.481
```

Output
- Theoretical density: 9.133 Mg/m³
- Formation energy (no corrections): -8.9 kcal/mol of atoms
- Size of the total moment: 0.0 Bohr magnetons per cell